A plane-wave DFT calculation with GGA-PBEsol was carried out for a relaxed structure of Ba2TaIn.

Summary:
Distance to the lowest polymorph of the same formula (meV per atom): 0
Energy of formation from the pure elements (eV/atom): 0.4304
Volume (Å³/cell): 138

Cell lengths 3.8227, 3.8227, 9.4206 Å; angles 90.00, 90.00, 90.00 degrees
Atoms (fractional coordinates):
Ba (0.0000, 0.0000, 0.0000)
Ba (0.5000, 0.5000, 0.3959)
Ta (0.5000, 0.5000, 0.7431)
In (0.0000, 0.0000, 0.6470)